[1]
{
  "formula": "CaCo4Cu3O12",
  "functional": "GGA+U",
  "state": "optimized geometry",
  "lattice_angstrom": [[6.275, 0.010, -0.009], [2.082, 5.920, -0.008], [-2.090, 2.959, 5.124]],
  "species": ["Cu", "Cu", "O", "O", "O", "Ca", "O", "Co", "O", "O", "O", "O", "O", "Co", "Cu", "O", "O", "Co", "O", "Co"],
  "fractional_positions": [[0.500, 0.500, 0.000], [0.500, 0.000, 0.500], [0.175, 0.517, 0.309], [0.691, 0.826, 0.866], [0.483, 0.691, 0.175], [0.000, 0.000, 0.000], [0.825, 0.483, 0.691], [0.000, 0.500, 0.000], [0.866, 0.309, 0.174], [0.309, 0.174, 0.134], [0.691, 0.174, 0.517], [0.134, 0.691, 0.826], [0.517, 0.309, 0.825], [0.500, 0.000, 0.000], [0.000, 0.500, 0.500], [0.309, 0.826, 0.483], [0.175, 0.134, 0.691], [0.000, 0.000, 0.500], [0.825, 0.866, 0.309], [0.500, 0.500, 0.500]],
  "dos_at_fermi_per_ev_atom": 0.374,
  "e_tot_ry_per_atom": -0.416
}

[2]
{
  "formula": "CaV4CoCu2O12",
  "functional": "GGA+U",
  "state": "optimized geometry",
  "lattice_angstrom": [[6.422, 0.002, 0.004], [-2.101, 6.068, -0.004], [-2.120, -3.064, 5.230]],
  "species": ["Cu", "O", "O", "O", "Cu", "O", "O", "O", "O", "V", "V", "V", "O", "O", "O", "Co", "V", "O", "Ca", "O"],
  "fractional_positions": [[0.000, 0.500, 0.500], [0.694, 0.877, 0.183], [0.306, 0.123, 0.817], [0.116, 0.822, 0.294], [0.500, 0.500, 0.000], [0.179, 0.304, 0.483], [0.306, 0.488, 0.183], [0.884, 0.178, 0.706], [0.821, 0.696, 0.517], [0.500, 0.500, 0.500], [0.000, 0.000, 0.500], [0.000, 0.500, 0.000], [0.179, 0.696, 0.875], [0.473, 0.178, 0.294], [0.821, 0.304, 0.125], [0.500, 0.000, 0.500], [0.500, 0.000, 0.000], [0.527, 0.822, 0.706], [0.000, 0.000, 0.000], [0.694, 0.512, 0.817]],
  "dos_at_fermi_per_ev_atom": 0.142,
  "e_tot_ry_per_atom": -0.511
}